Below is crystalline TeIr2Ru at its relaxed geometry, with properties calculated at the PBE level.

Calculated values
For the formation energy from raw total energies, the calculation gives 443 meV/atom. Its density of states at the Fermi level is 9.3 states/eV per cell.

```
data_TeIr2Ru
_chemical_formula_sum 'Te2 Ir4 Ru2'
_cell_length_a 4.034
_cell_length_b 4.034
_cell_length_c 7.912
_cell_angle_alpha 90.00
_cell_angle_beta 90.00
_cell_angle_gamma 90.00
_space_group_name_H-M_alt 'I 4/m m m'
_space_group_IT_number 139
_space_group_name_Hall '-I 4 2'
loop_
_atom_site_label
_atom_site_type_symbol
_atom_site_fract_x
_atom_site_fract_y
_atom_site_fract_z
Te1 Te 0.000 0.000 0.000
Ir1 Ir 0.000 0.500 0.250
Ru1 Ru 0.000 0.000 0.500
```